Record 1
The following is a PBE calculation of an optimized crystal structure of CaMn2Pb, from Alexandria via LeMat-Bulk.

a b c (Å): 6.212 6.212 6.212
angles (deg): 40.98 40.98 40.98
Fractional coordinates of all 4 atoms:
Ca: 0.000 0.000 0.000
Mn: 0.453 0.453 0.453
Mn: 0.794 0.794 0.794
Pb: 0.205 0.205 0.205

Total DFT energy (no corrections) ... -5.90 eV/atom
Formation energy ... 0.11 eV/atom
E above lowest polymorph ... 0.00 eV/f.u.
Symmetry ... R3m, No. 160

***

Record 2
The following is a PBE calculation of an optimized crystal structure of HPdSe2, from Alexandria via LeMat-Bulk.

a b c (Å): 6.869 6.869 7.083
angles (deg): 92.89 92.89 31.18
Fractional coordinates of all 8 atoms:
H: 0.156 0.156 0.100
H: 0.844 0.844 0.900
Pd: 0.364 0.364 0.552
Pd: 0.636 0.636 0.448
Se: 0.071 0.071 0.233
Se: 0.180 0.180 0.669
Se: 0.820 0.820 0.331
Se: 0.929 0.929 0.767

Total DFT energy (no corrections) ... -4.00 eV/atom
E above lowest polymorph ... 0.25 eV/f.u.
Symmetry ... C2/m, No. 12